[1]
This record from the Alexandria database describes a geometry-optimized NdHo3Ga structure. The functional is GGA-PBE.

abc: 7.380 7.380 7.695
angles: 119.83 119.83 72.78
Positions (direct):
Nd 0.053 0.053 0.321
Nd 0.947 0.947 0.679
Ho 0.105 0.494 0.263
Ho 0.428 0.428 0.733
Ho 0.494 0.105 0.263
Ho 0.506 0.895 0.737
Ho 0.572 0.572 0.267
Ho 0.895 0.506 0.737
Ga 0.265 0.265 0.907
Ga 0.735 0.735 0.093

=====

[2]
This record from the Alexandria database describes a geometry-optimized Nd3HoGa3 structure. The functional is GGA-PBE.

abc: 9.400 9.400 4.852
angles: 90.00 90.00 120.00
Positions (direct):
Nd 0.018 0.260 0.250
Nd 0.242 0.982 0.250
Nd 0.260 0.242 0.750
Nd 0.740 0.758 0.250
Nd 0.758 0.018 0.750
Nd 0.982 0.740 0.750
Ho 0.333 0.667 0.750
Ho 0.667 0.333 0.250
Ga 0.060 0.605 0.250
Ga 0.395 0.455 0.250
Ga 0.455 0.060 0.750
Ga 0.545 0.940 0.250
Ga 0.605 0.545 0.750
Ga 0.940 0.395 0.750

=====

Number 1: energy -43.8 eV for the cell shown. Number 2: energy -61.0 eV for the cell shown.